Record 1
VASP calculation (PBE) on a relaxed LiNdB14 crystal.

## Properties
V	8.1	A^3/atom
calculated formation energy	-4.10	eV per formula unit
final energy	-6.5163	eV per atom
DOS at the Fermi energy	0.2	states/eV/cell

Cell lengths 5.888, 10.560, 8.327 Å; angles 90.00, 90.00, 90.00 degrees
Space group Imma (No. 74)
Unique sites:
Li1 0.250 0.250 0.250 x4
Nd1 0.000 0.250 0.630 x4
B1 0.000 0.088 0.172 x8
B2 0.000 0.147 0.369 x8
B3 0.000 0.165 0.973 x8
B4 0.158 0.057 0.841 x16
B5 0.250 0.079 0.047 x16

Record 2
VASP calculation (PBE) on a relaxed LiNdB12 crystal.

## Properties
V	10.1	A^3/atom
calculated formation energy	-4.12	eV per formula unit
final energy	-6.4953	eV per atom
DOS at the Fermi energy	0.9	states/eV/cell

Cell lengths 4.141, 4.141, 8.275 Å; angles 90.00, 90.00, 90.00 degrees
Space group P4/mmm (No. 123)
Unique sites:
Li1 0.000 0.000 0.000 x1
Nd1 0.000 0.000 0.500 x1
B1 0.201 0.500 0.250 x8
B2 0.500 0.500 0.100 x2
B3 0.500 0.500 0.400 x2

Record 3
VASP calculation (PBE) on a relaxed Li3Nd2B3O9 crystal.

## Properties
formation energy (no corrections)	-2717.6	meV per atom
V	10.6	A^3/atom
final energy	-7.4196	eV per atom
DOS at the Fermi energy	0.0	states/eV/cell

Cell lengths 5.844, 14.227, 9.411 Å; angles 90.00, 113.10, 90.00 degrees
Space group P2_1/c (No. 14)
Unique sites:
Li1 0.049 0.112 0.208 x4
Li2 0.419 0.215 0.210 x4
Li3 0.426 0.665 0.497 x4
Nd1 0.059 0.664 0.692 x4
Nd2 0.347 0.003 0.659 x4
B1 0.114 0.677 0.018 x4
B2 0.263 0.015 0.014 x4
B3 0.385 0.163 0.472 x4
O1 0.042 0.595 0.931 x4
O2 0.095 0.737 0.446 x4
O3 0.158 0.007 0.854 x4
O4 0.213 0.669 0.178 x4
O5 0.307 0.104 0.080 x4
O6 0.315 0.242 0.379 x4
O7 0.322 0.564 0.607 x4
O8 0.338 0.074 0.407 x4
O9 0.496 0.168 0.632 x4

Number 1: total moment 0.00 μB/atom. Number 2: total moment 0.00 μB/atom. Number 3: total moment 0.00 μB/atom.